This record from the Alexandria database describes a relaxed structure of LiAcGe2O6. The functional is GGA-PBE.

abc: 6.077 7.374 7.374
angles: 82.09 71.97 71.97
Element x y z (fractional)
Ge (0.177, 0.367, 0.215)
O (0.317, 0.194, 0.040)
O (0.183, 0.960, 0.806)
Ge (0.323, 0.785, 0.633)
O (0.437, 0.388, 0.284)
Ge (0.823, 0.633, 0.785)
O (0.063, 0.716, 0.612)
Li (0.250, 0.217, 0.783)
Li (0.750, 0.783, 0.217)
O (0.683, 0.806, 0.960)
Ge (0.677, 0.215, 0.367)
O (0.937, 0.284, 0.388)
Ac (0.750, 0.148, 0.852)
O (0.563, 0.612, 0.716)
O (0.817, 0.040, 0.194)
O (0.438, 0.848, 0.396)
O (0.062, 0.604, 0.152)
Ac (0.250, 0.852, 0.148)
O (0.938, 0.396, 0.848)
O (0.562, 0.152, 0.604)

Calculated values
Formation energy without anion corrections: -2.194 eV/atom
SG: No. 15
Uncorrected energy: -6.69 eV per atom

***

This record from the Alexandria database describes a relaxed structure of Ac2Mn3Ge4. The functional is GGA-PBE.

abc: 5.931 7.874 8.610
angles: 90.00 110.15 90.00
Last column: magnetic moment on the atom in μB.
Element x y z (fractional)
Ge (0.805, 0.250, 0.110)  -0.07
Ac (0.889, 0.405, 0.778)  -0.03
Ac (0.111, 0.595, 0.222)  -0.03
Mn (0.463, 0.250, 0.426)  3.26
Mn (0.037, 0.750, 0.574)  3.26
Ac (0.389, 0.095, 0.778)  -0.03
Mn (0.537, 0.750, 0.574)  3.26
Ge (0.306, 0.469, 0.613)  -0.13
Mn (0.000, 0.000, 0.000)  3.50
Ge (0.806, 0.031, 0.613)  -0.13
Mn (0.500, 0.500, 0.000)  3.50
Mn (0.963, 0.250, 0.426)  3.26
Ge (0.695, 0.750, 0.890)  -0.07
Ge (0.305, 0.250, 0.110)  -0.07
Ac (0.611, 0.905, 0.222)  -0.03
Ge (0.194, 0.969, 0.387)  -0.13
Ge (0.694, 0.531, 0.387)  -0.13
Ge (0.195, 0.750, 0.890)  -0.07

Calculated values
SG: No. 64
Uncorrected energy: -6.31 eV per atom
Calculated formation energy: -0.289 eV/atom

***

This record from the Alexandria database describes a relaxed structure of Fe2PdPt7. The functional is GGA-PBE.

abc: 4.004 7.481 7.481
angles: 123.02 90.00 90.00
Last column: magnetic moment on the atom in μB.
Element x y z (fractional)
Pt (0.000, 0.201, 0.799)  0.32
Fe (0.500, 0.306, 0.694)  3.05
Pt (0.500, 0.918, 0.700)  0.19
Pt (0.500, 0.500, 0.500)  0.19
Pd (0.000, 0.000, 0.000)  0.16
Pt (0.500, 0.700, 0.918)  0.19
Pt (0.000, 0.799, 0.201)  0.32
Pt (0.500, 0.082, 0.300)  0.19
Fe (0.500, 0.694, 0.306)  3.05
Pt (0.500, 0.300, 0.082)  0.19

Calculated values
SG: No. 65
Uncorrected energy: -6.03 eV per atom
Calculated formation energy: 0.408 eV/atom

***

This record from the Alexandria database describes a relaxed structure of ScTl2Ir. The functional is GGA-PBE.

abc: 9.855 9.855 9.855
angles: 19.39 19.39 19.39
Element x y z (fractional)
Ir (0.491, 0.491, 0.491)
Tl (0.006, 0.006, 0.006)
Sc (0.764, 0.764, 0.764)
Tl (0.239, 0.239, 0.239)

Calculated values
SG: No. 160
Uncorrected energy: -5.01 eV per atom
Calculated formation energy: -0.025 eV/atom

***

This record from the Alexandria database describes a relaxed structure of NpCuSnPt. The functional is GGA-PBE.

abc: 4.798 4.798 4.798
angles: 60.00 60.00 60.00
Last column: magnetic moment on the atom in μB.
Element x y z (fractional)
Sn (0.500, 0.500, 0.500)  -0.02
Pt (0.250, 0.250, 0.250)  -0.11
Np (0.000, 0.000, 0.000)  3.57
Cu (0.750, 0.750, 0.750)  0.01

Calculated values
SG: No. 216
Uncorrected energy: -7.02 eV per atom
Calculated formation energy: -0.251 eV/atom

***

This record from the Alexandria database describes a relaxed structure of TiSe2Cl. The functional is GGA-PBE.

abc: 9.557 9.557 9.557
angles: 20.07 20.07 20.07
Element x y z (fractional)
Se (0.915, 0.915, 0.915)
Ti (0.000, 0.000, 0.000)
Se (0.085, 0.085, 0.085)
Cl (0.500, 0.500, 0.500)

Calculated values
Offset from the most stable computed form: 1.142 eV/atom
Formation energy without anion corrections: 0.377 eV/atom
SG: No. 166
Uncorrected energy: -3.80 eV per atom

***

> What is the uncorrected energy in the sixth record?

-3.80 eV per atom